Ba2Sn3Pd4Pb: optimized geometry, GGA-PBE.

The formation energy is -666 meV/atom. The uncorrected energy is -4.700 eV per atom. The density of states at the Fermi level comes out at 5.58 states/eV/cell. The magnetization is 0.000 μB/f.u.

a b c (Å): 4.8258 4.8258 10.9554
angles (deg): 90.00 90.00 90.00
Closest atoms and distances in Å follow each position.
Space group P-4m2 (No. 115)
Inequivalent atoms, fractional coordinates:
Ba 0.0000 0.5000 0.2448 x2  8 Pd 3.61-3.65, 7 Sn 3.69-3.93, 2 Pb 3.69
Sn 0.0000 0.5000 0.8861 x2  5 Pd 2.72-2.73
Sn 0.5000 0.5000 0.5000 x1  4 Pd 2.84
Pd 0.0000 0.0000 0.0000 x1  4 Sn 2.72
Pd 0.0000 0.5000 0.6364 x2  3 Sn 2.73-2.84, 2 Pb 2.84
Pd 0.5000 0.5000 0.0000 x1  4 Sn 2.72
Pb 0.0000 0.0000 0.5000 x1  4 Pd 2.84